--- A ---
The following is a GGA-PBE calculation of Li3InAu6 after structural relaxation, from Alexandria.

abc: 5.529 8.329 8.329
angles: 107.25 90.00 90.00
Fractional positions:
1 Au 0.397 0.231 0.769
2 Au 0.905 0.713 0.577
3 Au 0.625 0.978 0.506
4 Au 0.125 0.506 0.978
5 Au 0.897 0.769 0.231
6 Au 0.125 0.022 0.494
7 Au 0.573 0.016 0.984
8 Au 0.073 0.984 0.016
9 Au 0.405 0.287 0.423
10 Au 0.905 0.423 0.287
11 Au 0.625 0.494 0.022
12 Au 0.405 0.577 0.713
13 Li 0.806 0.716 0.880
14 Li 0.950 0.400 0.600
15 Li 0.806 0.120 0.284
16 Li 0.450 0.600 0.400
17 Li 0.306 0.880 0.716
18 Li 0.306 0.284 0.120
19 In 0.394 0.820 0.180
20 In 0.894 0.180 0.820

Space-group type: Cmc2_1, No. 36

---

--- B ---
The following is a GGA-PBE calculation of Li3InAu6 after structural relaxation, from Alexandria.

abc: 4.471 8.117 9.544
angles: 101.88 90.00 90.00
Fractional positions:
1 Li 0.750 0.253 0.022
2 Li 0.750 0.455 0.603
3 Li 0.250 0.545 0.397
4 Li 0.250 0.352 0.820
5 Li 0.250 0.747 0.978
6 Li 0.750 0.648 0.180
7 Au 0.750 0.836 0.792
8 Au 0.750 0.177 0.727
9 Au 0.250 0.063 0.911
10 Au 0.250 0.265 0.531
11 Au 0.750 0.735 0.469
12 Au 0.250 0.823 0.273
13 Au 0.750 0.937 0.089
14 Au 0.250 0.611 0.689
15 Au 0.250 0.469 0.103
16 Au 0.750 0.531 0.897
17 Au 0.750 0.389 0.311
18 Au 0.250 0.164 0.208
19 In 0.750 0.066 0.391
20 In 0.250 0.934 0.609

Space-group type: P2_1/m, No. 11

---

Which of them is least stable? Easy: A.